# 1
# Nb2RhO (PBE, relaxed)
data_Nb2RhO
_cell_length_a 3.6896
_cell_length_b 3.6896
_cell_length_c 14.9862
_cell_angle_alpha 90.00
_cell_angle_beta 90.00
_cell_angle_gamma 120.00
_space_group_name_H-M_alt 'R -3 m'
_space_group_IT_number 166
_space_group_name_Hall '-R 3 2"'
loop_
_atom_site_label
_atom_site_type_symbol
_atom_site_fract_x
_atom_site_fract_y
_atom_site_fract_z
Nb1 Nb 0.0000 0.0000 0.2270
Rh1 Rh 0.0000 0.0000 0.0000
O1 O 0.0000 0.0000 0.5000
# Raw formation energy ... -499 meV/atom
# Magnetic moment ... 0.00 μB/cell
# Electronic total energy ... -103.33 eV per cell



# 2
# NbRhO (PBE, relaxed)
data_NbRhO
_cell_length_a 5.5345
_cell_length_b 5.5345
_cell_length_c 4.6134
_cell_angle_alpha 90.00
_cell_angle_beta 90.00
_cell_angle_gamma 120.00
_space_group_name_H-M_alt 'P -6 2 m'
_space_group_IT_number 189
_space_group_name_Hall 'P -6 -2'
loop_
_atom_site_label
_atom_site_type_symbol
_atom_site_fract_x
_atom_site_fract_y
_atom_site_fract_z
Nb1 Nb 0.0000 0.0000 0.0000
Nb2 Nb 0.3333 0.6667 0.5000
Rh1 Rh 0.0000 0.5265 0.0000
O1 O 0.0000 0.2753 0.5000
# Raw formation energy ... -908 meV/atom
# Magnetic moment ... 0.00 μB/cell
# Electronic total energy ... -75.31 eV per cell



# 3
# Nb2RhO6 (PBE, relaxed)
data_Nb2RhO6
_cell_length_a 8.8052
_cell_length_b 8.8052
_cell_length_c 4.7382
_cell_angle_alpha 90.00
_cell_angle_beta 90.00
_cell_angle_gamma 120.00
_space_group_name_H-M_alt 'P 3 2 1'
_space_group_IT_number 150
loop_
_space_group_symop_operation_xyz
'x,y,z'
'-y,x-y,z'
'-x+y,-x,z'
'y,x,-z'
'x-y,-y,-z'
'-x,-x+y,-z'
loop_
_atom_site_label
_atom_site_type_symbol
_atom_site_fract_x
_atom_site_fract_y
_atom_site_fract_z
Nb1 Nb 0.0000 0.3581 0.0000
Nb2 Nb 0.0000 0.6907 0.5000
Rh1 Rh 0.0000 0.0000 0.0000
Rh2 Rh 0.3333 0.6667 0.5003
O1 O 0.1009 0.5544 0.2588
O2 O 0.1157 0.2317 0.2352
O3 O 0.2115 0.4331 0.7415
# Raw formation energy ... -1990 meV/atom
# Magnetic moment ... 0.01 μB/cell
# Electronic total energy ... -225.45 eV per cell



# 4
# NbRhO2 (PBE, relaxed)
data_NbRhO2
_cell_length_a 3.974
_cell_length_b 3.974
_cell_length_c 12.715
_cell_angle_alpha 90.00
_cell_angle_beta 90.00
_cell_angle_gamma 90.00
_space_group_name_H-M_alt 'I -4 2 d'
_space_group_IT_number 122
_space_group_name_Hall 'I -4 2bw'
loop_
_atom_site_label
_atom_site_type_symbol
_atom_site_fract_x
_atom_site_fract_y
_atom_site_fract_z
Nb1 Nb 0.000 0.000 0.000
Rh1 Rh 0.000 0.000 0.500
O1 O 0.215 0.250 0.125
# Raw formation energy ... -1141 meV/atom
# Offset from the most stable computed form ... 222 meV/atom
# Magnetic moment ... 0.00 μB/cell
# Electronic total energy ... -127.61 eV per cell